Model one:
# RbThPb2 (PBE, optimized geometry)
data_RbThPb2
_space_group_name_H-M_alt 'P 1'
_space_group_IT_number 1
_cell_length_a 3.601
_cell_length_b 3.601
_cell_length_c 10.518
_cell_angle_alpha 90.00
_cell_angle_beta 90.00
_cell_angle_gamma 90.00
loop_
_space_group_symop_operation_xyz
'x,y,z'
loop_
_atom_site_label
_atom_site_type_symbol
_atom_site_fract_x
_atom_site_fract_y
_atom_site_fract_z
Rb1 Rb 0.000 0.000 0.000
Th1 Th 0.000 0.000 0.500
Pb1 Pb 0.500 0.500 0.274
Pb2 Pb 0.500 0.500 0.726
# N(E_F) = 4.3 states/eV/f.u.
# Magnetic moment = 0.0000 μB/atom


Model two:
# RbThPb2 (PBE, optimized geometry)
data_RbThPb2
_space_group_name_H-M_alt 'P 1'
_space_group_IT_number 1
_cell_length_a 3.644
_cell_length_b 3.644
_cell_length_c 35.606
_cell_angle_alpha 90.00
_cell_angle_beta 90.00
_cell_angle_gamma 120.00
loop_
_space_group_symop_operation_xyz
'x,y,z'
loop_
_atom_site_label
_atom_site_type_symbol
_atom_site_fract_x
_atom_site_fract_y
_atom_site_fract_z
Rb1 Rb 0.000 0.000 0.000
Rb2 Rb 0.333 0.667 0.667
Rb3 Rb 0.667 0.333 0.333
Th1 Th 0.000 0.000 0.500
Th2 Th 0.333 0.667 0.167
Th3 Th 0.667 0.333 0.833
Pb1 Pb 0.000 0.000 0.245
Pb2 Pb 0.000 0.000 0.755
Pb3 Pb 0.333 0.667 0.422
Pb4 Pb 0.333 0.667 0.912
Pb5 Pb 0.667 0.333 0.088
Pb6 Pb 0.667 0.333 0.578
# N(E_F) = 2.9 states/eV/f.u.
# Magnetic moment = 0.0000 μB/atom


The structure with the least stability is model two.


Model one:
# RbTiPb2 (PBE, optimized geometry)
data_RbTiPb2
_space_group_name_H-M_alt 'P 1'
_space_group_IT_number 1
_cell_length_a 6.517
_cell_length_b 6.517
_cell_length_c 17.545
_cell_angle_alpha 90.00
_cell_angle_beta 90.00
_cell_angle_gamma 90.00
loop_
_space_group_symop_operation_xyz
'x,y,z'
loop_
_atom_site_label
_atom_site_type_symbol
_atom_site_fract_x
_atom_site_fract_y
_atom_site_fract_z
Rb1 Rb 0.000 0.000 0.000
Rb2 Rb 0.000 0.500 0.250
Rb3 Rb 0.500 0.000 0.750
Rb4 Rb 0.500 0.500 0.500
Ti1 Ti 0.000 0.000 0.500
Ti2 Ti 0.000 0.500 0.750
Ti3 Ti 0.500 0.000 0.250
Ti4 Ti 0.500 0.500 0.000
Pb1 Pb 0.002 0.250 0.625
Pb2 Pb 0.250 0.502 0.875
Pb3 Pb 0.250 0.998 0.375
Pb4 Pb 0.498 0.250 0.125
Pb5 Pb 0.502 0.750 0.125
Pb6 Pb 0.750 0.002 0.375
Pb7 Pb 0.750 0.498 0.875
Pb8 Pb 0.998 0.750 0.625
# N(E_F) = 1.8 states/eV/f.u.
# Magnetic moment = 0.0000 μB/atom


Model two:
# RbTiPb2 (PBE, optimized geometry)
data_RbTiPb2
_space_group_name_H-M_alt 'P 1'
_space_group_IT_number 1
_cell_length_a 7.762
_cell_length_b 7.762
_cell_length_c 7.762
_cell_angle_alpha 90.00
_cell_angle_beta 90.00
_cell_angle_gamma 90.00
loop_
_space_group_symop_operation_xyz
'x,y,z'
loop_
_atom_site_label
_atom_site_type_symbol
_atom_site_fract_x
_atom_site_fract_y
_atom_site_fract_z
Rb1 Rb 0.000 0.000 0.000
Rb2 Rb 0.000 0.500 0.500
Rb3 Rb 0.500 0.000 0.500
Rb4 Rb 0.500 0.500 0.000
Ti1 Ti 0.000 0.000 0.500
Ti2 Ti 0.000 0.500 0.000
Ti3 Ti 0.500 0.000 0.000
Ti4 Ti 0.500 0.500 0.500
Pb1 Pb 0.250 0.250 0.250
Pb2 Pb 0.250 0.250 0.750
Pb3 Pb 0.250 0.750 0.250
Pb4 Pb 0.250 0.750 0.750
Pb5 Pb 0.750 0.250 0.250
Pb6 Pb 0.750 0.250 0.750
Pb7 Pb 0.750 0.750 0.250
Pb8 Pb 0.750 0.750 0.750
# N(E_F) = 9.7 states/eV/f.u.
# Magnetic moment = 0.0000 μB/atom


The structure with the least stability is model two.


Model one:
# RbTiPb3 (PBE, optimized geometry)
data_RbTiPb3
_space_group_name_H-M_alt 'P 1'
_space_group_IT_number 1
_cell_length_a 5.529
_cell_length_b 5.529
_cell_length_c 5.529
_cell_angle_alpha 90.00
_cell_angle_beta 90.00
_cell_angle_gamma 90.00
loop_
_space_group_symop_operation_xyz
'x,y,z'
loop_
_atom_site_label
_atom_site_type_symbol
_atom_site_fract_x
_atom_site_fract_y
_atom_site_fract_z
Rb1 Rb 0.000 0.000 0.000
Ti1 Ti 0.500 0.500 0.500
Pb1 Pb 0.000 0.500 0.500
Pb2 Pb 0.500 0.000 0.500
Pb3 Pb 0.500 0.500 0.000
# N(E_F) = 2.5 states/eV/f.u.
# Magnetic moment = 0.0000 μB/atom


Model two:
# RbTiPb3 (PBE, optimized geometry)
data_RbTiPb3
_space_group_name_H-M_alt 'P 1'
_space_group_IT_number 1
_cell_length_a 5.946
_cell_length_b 5.946
_cell_length_c 5.946
_cell_angle_alpha 90.00
_cell_angle_beta 90.00
_cell_angle_gamma 90.00
loop_
_space_group_symop_operation_xyz
'x,y,z'
loop_
_atom_site_label
_atom_site_type_symbol
_atom_site_fract_x
_atom_site_fract_y
_atom_site_fract_z
Rb1 Rb 0.000 0.000 0.000
Ti1 Ti 0.500 0.500 0.500
Pb1 Pb 0.000 0.000 0.500
Pb2 Pb 0.000 0.500 0.000
Pb3 Pb 0.500 0.000 0.000
# N(E_F) = 16.9 states/eV/f.u.
# Magnetic moment = 0.0039 μB/atom


The structure with the least stability is model two.


Model one:
# RbTi3Pb (PBE, optimized geometry)
data_RbTi3Pb
_space_group_name_H-M_alt 'P 1'
_space_group_IT_number 1
_cell_length_a 4.788
_cell_length_b 4.788
_cell_length_c 4.788
_cell_angle_alpha 90.00
_cell_angle_beta 90.00
_cell_angle_gamma 90.00
loop_
_space_group_symop_operation_xyz
'x,y,z'
loop_
_atom_site_label
_atom_site_type_symbol
_atom_site_fract_x
_atom_site_fract_y
_atom_site_fract_z
Rb1 Rb 0.000 0.000 0.000
Ti1 Ti 0.000 0.000 0.500
Ti2 Ti 0.000 0.500 0.000
Ti3 Ti 0.500 0.000 0.000
Pb1 Pb 0.500 0.500 0.500
# N(E_F) = 5.2 states/eV/f.u.
# Magnetic moment = 0.3007 μB/atom


Model two:
# RbTi3Pb (PBE, optimized geometry)
data_RbTi3Pb
_space_group_name_H-M_alt 'P 1'
_space_group_IT_number 1
_cell_length_a 5.493
_cell_length_b 5.493
_cell_length_c 5.493
_cell_angle_alpha 90.00
_cell_angle_beta 90.00
_cell_angle_gamma 90.00
loop_
_space_group_symop_operation_xyz
'x,y,z'
loop_
_atom_site_label
_atom_site_type_symbol
_atom_site_fract_x
_atom_site_fract_y
_atom_site_fract_z
Rb1 Rb 0.000 0.000 0.000
Ti1 Ti 0.000 0.500 0.500
Ti2 Ti 0.500 0.000 0.500
Ti3 Ti 0.500 0.500 0.000
Pb1 Pb 0.500 0.500 0.500
# N(E_F) = 9.3 states/eV/f.u.
# Magnetic moment = 1.5756 μB/atom


The structure with the least stability is model one.


Model one:
# RbTlPb3 (PBE, optimized geometry)
data_RbTlPb3
_space_group_name_H-M_alt 'P 1'
_space_group_IT_number 1
_cell_length_a 6.035
_cell_length_b 6.035
_cell_length_c 6.035
_cell_angle_alpha 90.00
_cell_angle_beta 90.00
_cell_angle_gamma 90.00
loop_
_space_group_symop_operation_xyz
'x,y,z'
loop_
_atom_site_label
_atom_site_type_symbol
_atom_site_fract_x
_atom_site_fract_y
_atom_site_fract_z
Rb1 Rb 0.000 0.000 0.000
Tl1 Tl 0.500 0.500 0.500
Pb1 Pb 0.000 0.500 0.500
Pb2 Pb 0.500 0.000 0.500
Pb3 Pb 0.500 0.500 0.000
# N(E_F) = 3.6 states/eV/f.u.
# Magnetic moment = 0.0000 μB/atom


Model two:
# RbTlPb3 (PBE, optimized geometry)
data_RbTlPb3
_space_group_name_H-M_alt 'P 1'
_space_group_IT_number 1
_cell_length_a 7.228
_cell_length_b 7.220
_cell_length_c 8.166
_cell_angle_alpha 90.00
_cell_angle_beta 116.25
_cell_angle_gamma 90.00
loop_
_space_group_symop_operation_xyz
'x,y,z'
loop_
_atom_site_label
_atom_site_type_symbol
_atom_site_fract_x
_atom_site_fract_y
_atom_site_fract_z
Rb1 Rb 0.000 0.000 0.000
Rb2 Rb 0.500 0.500 0.000
Tl1 Tl 0.399 0.000 0.777
Tl2 Tl 0.899 0.500 0.777
Pb1 Pb 0.001 0.242 0.501
Pb2 Pb 0.001 0.758 0.501
Pb3 Pb 0.107 0.500 0.232
Pb4 Pb 0.501 0.258 0.501
Pb5 Pb 0.501 0.742 0.501
Pb6 Pb 0.607 0.000 0.232
# N(E_F) = 1.9 states/eV/f.u.
# Magnetic moment = 0.0000 μB/atom


Model three:
# RbTlPb3 (PBE, optimized geometry)
data_RbTlPb3
_space_group_name_H-M_alt 'P 1'
_space_group_IT_number 1
_cell_length_a 7.050
_cell_length_b 7.282
_cell_length_c 7.285
_cell_angle_alpha 90.00
_cell_angle_beta 90.00
_cell_angle_gamma 90.00
loop_
_space_group_symop_operation_xyz
'x,y,z'
loop_
_atom_site_label
_atom_site_type_symbol
_atom_site_fract_x
_atom_site_fract_y
_atom_site_fract_z
Rb1 Rb 0.000 0.244 0.000
Rb2 Rb 0.500 0.756 0.500
Tl1 Tl 0.000 0.902 0.351
Tl2 Tl 0.500 0.098 0.851
Pb1 Pb 0.000 0.603 0.649
Pb2 Pb 0.250 0.254 0.501
Pb3 Pb 0.250 0.746 0.001
Pb4 Pb 0.500 0.397 0.149
Pb5 Pb 0.750 0.254 0.501
Pb6 Pb 0.750 0.746 0.001
# N(E_F) = 2.1 states/eV/f.u.
# Magnetic moment = 0.0000 μB/atom


Model four:
# RbTlPb3 (PBE, optimized geometry)
data_RbTlPb3
_space_group_name_H-M_alt 'P 1'
_space_group_IT_number 1
_cell_length_a 6.218
_cell_length_b 6.218
_cell_length_c 6.218
_cell_angle_alpha 90.00
_cell_angle_beta 90.00
_cell_angle_gamma 90.00
loop_
_space_group_symop_operation_xyz
'x,y,z'
loop_
_atom_site_label
_atom_site_type_symbol
_atom_site_fract_x
_atom_site_fract_y
_atom_site_fract_z
Rb1 Rb 0.000 0.000 0.000
Tl1 Tl 0.500 0.500 0.500
Pb1 Pb 0.000 0.000 0.500
Pb2 Pb 0.000 0.500 0.000
Pb3 Pb 0.500 0.000 0.000
# N(E_F) = 3.6 states/eV/f.u.
# Magnetic moment = 0.0000 μB/atom


The structure with the least stability is model four.